This record from Alexandria via LeMat-Bulk describes a geometry-optimized CrHRu2 structure. The functional is GGA-PBE.

raw total energy: -7.634 eV/atom
offset from the most stable computed form: 0.189 eV/atom
symmetry: I-42d

Structure (extended XYZ):
```
8
Lattice="-2.9312 2.9312 2.5259 2.9312 -2.9312 2.5259 2.9312 2.9312 -2.5259" Properties=species:S:1:pos:R:3 pbc="T T T"
Cr 0.0000 0.0000 0.0000
Cr 0.0000 2.9312 1.2630
H 2.9312 0.0000 1.2630
H 0.0000 0.0000 2.5259
Ru 1.4656 -0.9575 1.8945
Ru 1.9738 1.4656 0.6315
Ru 1.4656 3.8887 -0.6315
Ru 0.9575 1.4656 3.1574
```